DFT (PBE with a Hubbard U) results for a geometry-optimized TlOs2WO8 structure.

Structure (CIF):
```
data_TlOs2WO8
_chemical_formula_sum 'Tl1 Os2 W1 O8'
_cell_length_a 5.6544
_cell_length_b 5.6544
_cell_length_c 8.0279
_cell_angle_alpha 90.00
_cell_angle_beta 90.00
_cell_angle_gamma 120.00
_space_group_name_H-M_alt 'P -3'
_space_group_IT_number 147
_space_group_name_Hall '-P 3'
loop_
_atom_site_label
_atom_site_fract_x
_atom_site_fract_y
_atom_site_fract_z
Tl1 0.0000 0.0000 0.0000
Os1 0.3333 0.6667 0.7354
W1 0.0000 0.0000 0.5000
O1 0.0868 0.3273 0.6562
O2 0.3333 0.6667 0.9559
```

Calculated values
Volume: 18.52 Å³/atom
Electronic total energy: -6.954 eV per atom